# 1
6
Lattice="3.107 0.000 -1.213 -0.858 4.100 -2.199 0.452 0.447 5.744" Properties=species:S:1:pos:R:3 comment="PBE Tm2ScN3, optimized geometry" e_tot_ev_per_atom=-8.538 volume_a3_per_atom=13.2 raw_formation_energy_kj_per_mol_fu=-1059 pbc="T T T"
Tm 0.625 3.719 1.601
Tm 2.076 0.827 0.731
Sc -0.429 2.050 -1.100
N 1.631 2.852 -0.408
N 0.000 0.000 0.000
N 1.070 1.694 2.741

---

# 2
16
Lattice="-5.557 -0.887 0.110 2.620 -4.193 2.684 -0.418 3.313 5.584" Properties=species:S:1:pos:R:3 comment="PBE TmSc3N4, optimized geometry" e_tot_ev_per_atom=-8.966 volume_a3_per_atom=12.1 raw_formation_energy_kj_per_mol_fu=-1444 pbc="T T T"
Sc -4.325 0.585 2.190
Sc -1.650 1.841 3.504
Sc -3.118 -0.698 4.902
Sc -2.911 -2.337 2.141
Sc -0.237 -1.069 3.476
Sc -0.444 0.569 6.237
Tm -4.533 2.227 4.957
Tm -1.442 0.199 0.737
N 0.374 0.992 4.141
N -2.458 1.358 5.606
N -2.303 -0.248 2.854
N -4.926 -1.538 1.528
N 1.571 -0.230 6.850
N -1.052 -1.520 5.524
N -0.898 -3.125 2.772
N -3.729 -2.759 4.237

---

# 3
7
Lattice="4.398 0.000 0.000 0.000 4.398 0.000 2.199 2.199 8.645" Properties=species:S:1:pos:R:3 comment="PBE Tm2Sc4N, optimized geometry" e_tot_ev_per_atom=-6.431 volume_a3_per_atom=23.9 raw_formation_energy_kj_per_mol_fu=-233 pbc="T T T"
Sc 4.398 4.398 2.172
Sc 2.199 2.199 6.473
Sc 0.000 2.199 0.000
Sc 2.199 0.000 0.000
Tm 4.398 4.398 5.541
Tm 2.199 2.199 3.104
N 0.000 0.000 0.000

---

# 4
10
Lattice="4.292 0.000 2.070 2.146 5.317 1.035 -0.164 0.000 5.824" Properties=species:S:1:pos:R:3 comment="PBE Tm4ScN5, optimized geometry" e_tot_ev_per_atom=-8.411 volume_a3_per_atom=13.5 raw_formation_energy_kj_per_mol_fu=-1762 pbc="T T T"
Tm 2.444 2.121 5.914
Tm 5.055 4.265 5.986
Tm 1.229 1.051 2.948
Tm 3.840 3.195 3.020
Sc 0.006 0.000 0.003
N 4.586 2.084 6.955
N 2.892 4.272 4.983
N 3.390 1.044 3.949
N 1.696 3.232 1.978
N 2.148 0.000 1.036